Material: LiSi2C
Method: DFT, GGA-PBEsol
State: relaxed

Summary:
space group: No. 122
DFT total energy: -22.336 eV/f.u.
total magnetization: 0.0 μB/f.u.
Fermi-level density of states: 1.2 states/eV/cell
raw formation energy: 0.8 eV per formula unit

Lattice parameters (Å, degrees): 4.715 4.988 4.988 77.09 61.79 61.79
Element x y z (fractional)
Si  0.375  0.582  0.918
Li  0.250  0.500  0.500
C  0.000  0.000  0.000
Si  0.875  0.418  0.082
Si  0.043  0.082  0.582
Si  0.707  0.918  0.418
C  0.750  0.500  0.500
Li  0.500  0.000  0.000